(1)
The following is a DFT calculation (GGA-PBE) of an optimized crystal structure of LiLa2CoCu.

Geometry as POSCAR:
```
LiLa2CoCu
1.0
5.203 0.000 0.000
0.000 5.203 0.000
0.000 0.000 4.758
Li La Co Cu
1 2 1 1
Cartesian
0.000 0.000 0.000
0.000 2.601 2.379
2.601 0.000 2.379
2.601 2.601 2.379
2.601 2.601 0.000
```

Calculated values
- E_tot: -4.542 eV/atom
- Space-group type: P4/mmm
- Distance to the lowest polymorph of the same formula: 0.000 eV/f.u.
- ΔH_f (0 K): 0.052 eV per atom

***

(2)
The following is a DFT calculation (GGA-PBE) of an optimized crystal structure of NaAg2SbBr8.

Geometry as POSCAR:
```
NaAg2SbBr8
1.0
6.680 0.000 0.000
0.000 8.209 0.000
-0.660 0.000 6.979
Na Ag Sb Br
1 2 1 8
Cartesian
0.000 0.000 0.000
3.010 2.016 3.490
3.010 6.193 3.490
0.000 4.105 0.000
0.916 2.216 5.852
0.916 5.993 5.852
1.543 0.000 2.525
1.660 4.105 2.317
4.360 4.105 4.662
4.477 0.000 4.455
5.104 2.216 1.128
5.104 5.993 1.128
```

Calculated values
- Formation energy without anion corrections: -0.525 eV/atom
- E_tot: -2.569 eV/atom
- Space-group type: P2/m